GePdPt3 (PBE-GGA, optimized geometry); energy relative to the lowest polymorph listed for this composition = 6.4 meV per atom; DOS at the Fermi energy = 0.7255 states/eV/atom; total moment = 0.0 μB per cell; total energy = -5.8026 eV per atom
1.0
-1.9727 -3.6643 1.1927
2.1167 -0.2170 2.8341
-7.7202 3.5646 6.0388
Pt Pd Ge
6 2 2
Direct
0.5866 0.2500 0.4752
0.0618 0.7500 0.5248
0.3725 0.2500 0.9032
0.7670 0.2500 0.1144
0.8814 0.7500 0.8856
0.2758 0.7500 0.0968
0.4772 0.7500 0.6939
0.1711 0.2500 0.3061
0.9703 0.2500 0.7078
0.6781 0.7500 0.2922